# 1
VASP calculation (GGA-PBE) on a geometry-optimized CdPtRh3 structure.

Values from the calculation:
The value obtained for the formation energy is 1.192 eV/atom. The calculation puts the total energy at -0.3389 Ry/atom. The space-group type is No. 221. As for the energy relative to the lowest polymorph listed for this composition: 0 meV per atom. Its calculated volume is 22.30 A^3/atom.

Lattice parameters (Å, degrees): 4.813 4.813 4.813 90.00 90.00 90.00
Atoms (fractional coordinates):
Pt 0.000 0.000 0.000
Rh 0.000 0.500 0.000
Rh 0.500 0.000 0.000
Rh 0.000 0.000 0.500
Cd 0.500 0.500 0.500

# 2
VASP calculation (GGA-PBE) on a geometry-optimized CdPtRh2 structure.

Values from the calculation:
The value obtained for the formation energy is -0.034 eV/atom. The calculation puts the total energy at -0.4005 Ry/atom. The space-group type is No. 123. Its calculated volume is 15.78 A^3/atom.

Lattice parameters (Å, degrees): 4.023 4.023 3.898 90.00 90.00 90.00
Atoms (fractional coordinates):
Pt 0.000 0.000 0.500
Rh 0.000 0.500 0.000
Rh 0.500 0.000 0.000
Cd 0.500 0.500 0.500

# 3
VASP calculation (GGA-PBE) on a geometry-optimized Cd2PtRh structure.

Values from the calculation:
The value obtained for the formation energy is -0.207 eV/atom. The calculation puts the total energy at -0.2950 Ry/atom. The space-group type is No. 225. Its calculated volume is 17.18 A^3/atom.

Lattice parameters (Å, degrees): 4.597 4.597 4.597 60.00 60.00 60.00
Atoms (fractional coordinates):
Cd 0.000 0.000 0.000
Cd 0.500 0.500 0.500
Pt 0.250 0.250 0.250
Rh 0.750 0.750 0.750

# 4
VASP calculation (GGA-PBE) on a geometry-optimized CdPtRh2 structure.

Values from the calculation:
The value obtained for the formation energy is 0.039 eV/atom. The calculation puts the total energy at -0.3951 Ry/atom. The space-group type is No. 166. Its calculated volume is 15.79 A^3/atom.

Lattice parameters (Å, degrees): 9.215 9.215 9.215 17.70 17.70 17.70
Atoms (fractional coordinates):
Rh 0.747 0.747 0.747
Rh 0.253 0.253 0.253
Pt 0.000 0.000 0.000
Cd 0.500 0.500 0.500